# CuRhS2 | Alexandria via LeMat-Bulk | PBE | optimized geometry
# Size of the total moment in μB/atom: 0.000
# Uncorrected formation energy in meV/atom: -342
data_CuRhS2
_chemical_formula_sum 'Cu3 Rh3 S6'
_space_group_name_H-M_alt 'R -3 m'
_space_group_IT_number 166
_space_group_name_Hall '-R 3 2"'
_cell_length_a 3.5939
_cell_length_b 3.5939
_cell_length_c 19.9847
_cell_angle_alpha 90.00
_cell_angle_beta 90.00
_cell_angle_gamma 120.00
loop_
_atom_site_label
_atom_site_fract_x
_atom_site_fract_y
_atom_site_fract_z
_atom_site_occupancy
Cu1 0.0000 0.0000 0.0000 1
Rh1 0.0000 0.0000 0.5000 1
S1 0.0000 0.0000 0.1075 1

# IrRuAu2 | Alexandria via LeMat-Bulk | PBE | optimized geometry
# Size of the total moment in μB/atom: 0.150
# E_form in eV/atom: 0.442
# Excess energy over the best structure of this formula in the dataset in meV per atom: 275.8
data_IrRuAu2
_chemical_formula_sum 'Ir2 Ru2 Au4'
_space_group_name_H-M_alt 'I m m 2'
_space_group_IT_number 44
_space_group_name_Hall 'I 2 -2'
_cell_length_a 2.814
_cell_length_b 4.798
_cell_length_c 9.762
_cell_angle_alpha 90.00
_cell_angle_beta 90.00
_cell_angle_gamma 90.00
loop_
_atom_site_label
_atom_site_fract_x
_atom_site_fract_y
_atom_site_fract_z
_atom_site_occupancy
Ir1 0.000 0.000 0.000 1
Ru1 0.000 0.500 0.717 1
Au1 0.000 0.000 0.476 1
Au2 0.000 0.500 0.245 1

# Ta2SbAs | Alexandria via LeMat-Bulk | PBE | optimized geometry
# Size of the total moment in μB/atom: 0.000
# Uncorrected formation energy in meV/atom: 105
data_Ta2SbAs
_chemical_formula_sum 'Ta4 Sb2 As2'
_space_group_name_H-M_alt 'I m m 2'
_space_group_IT_number 44
_space_group_name_Hall 'I 2 -2'
_cell_length_a 3.440
_cell_length_b 4.732
_cell_length_c 9.362
_cell_angle_alpha 90.00
_cell_angle_beta 90.00
_cell_angle_gamma 90.00
loop_
_atom_site_label
_atom_site_fract_x
_atom_site_fract_y
_atom_site_fract_z
_atom_site_occupancy
Ta1 0.000 0.000 0.000 1
Ta2 0.000 0.500 0.236 1
Sb1 0.000 0.000 0.492 1
As1 0.000 0.500 0.713 1

# Tb5Co2Cu | Alexandria via LeMat-Bulk | PBE | optimized geometry
# Size of the total moment in μB/atom: 0.000
# E_form in eV/atom: -0.167
data_Tb5Co2Cu
_chemical_formula_sum 'Tb20 Co8 Cu4'
_space_group_name_H-M_alt 'I 4/m c m'
_space_group_IT_number 140
_space_group_name_Hall '-I 4 2c'
_cell_length_a 7.545
_cell_length_b 7.545
_cell_length_c 12.945
_cell_angle_alpha 90.00
_cell_angle_beta 90.00
_cell_angle_gamma 90.00
loop_
_atom_site_label
_atom_site_fract_x
_atom_site_fract_y
_atom_site_fract_z
_atom_site_occupancy
Tb1 0.000 0.000 0.000 1
Tb2 0.163 0.337 0.137 1
Co1 0.132 0.368 0.500 1
Cu1 0.000 0.000 0.250 1

# MnNbReSi | Alexandria via LeMat-Bulk | PBE | optimized geometry
# Size of the total moment in μB/atom: 0.232
# Uncorrected formation energy in meV/atom: -214
data_MnNbReSi
_chemical_formula_sum 'Mn4 Nb4 Re4 Si4'
_space_group_name_H-M_alt 'F -4 3 m'
_space_group_IT_number 216
_space_group_name_Hall 'F -4 2 3'
_cell_length_a 6.084
_cell_length_b 6.084
_cell_length_c 6.084
_cell_angle_alpha 90.00
_cell_angle_beta 90.00
_cell_angle_gamma 90.00
loop_
_atom_site_label
_atom_site_fract_x
_atom_site_fract_y
_atom_site_fract_z
_atom_site_occupancy
Mn1 0.000 0.000 0.000 1
Nb1 0.250 0.250 0.250 1
Re1 0.000 0.000 0.500 1
Si1 0.250 0.250 0.750 1

# Ag3IrC | Alexandria via LeMat-Bulk | PBE | optimized geometry
# Size of the total moment in μB/atom: 0.158
# E_form in eV/atom: 1.201
# Excess energy over the best structure of this formula in the dataset in meV per atom: 0.0
data_Ag3IrC
_chemical_formula_sum 'Ag3 Ir1 C1'
_space_group_name_H-M_alt 'P m -3 m'
_space_group_IT_number 221
_space_group_name_Hall '-P 4 2 3'
_cell_length_a 4.253
_cell_length_b 4.253
_cell_length_c 4.253
_cell_angle_alpha 90.00
_cell_angle_beta 90.00
_cell_angle_gamma 90.00
loop_
_atom_site_label
_atom_site_fract_x
_atom_site_fract_y
_atom_site_fract_z
_atom_site_occupancy
Ag1 0.000 0.000 0.500 1
Ir1 0.500 0.500 0.500 1
C1 0.000 0.000 0.000 1

no.,mass density (Mg/m³)
1,5.14
2,17.31
3,12.17
4,8.80
5,10.68
6,11.39